# Ca6Mg5Ag (PBE, relaxed)
# Space group ... No. 10
data_Ca6Mg5Ag
_cell_length_a 5.601
_cell_length_b 7.705
_cell_length_c 8.811
_cell_angle_alpha 90.00
_cell_angle_beta 108.18
_cell_angle_gamma 90.00
_symmetry_space_group_name_H-M 'P 1'
_symmetry_Int_Tables_number 1
loop_
_symmetry_equiv_pos_as_xyz
'x,y,z'
loop_
_atom_site_label
_atom_site_fract_x
_atom_site_fract_y
_atom_site_fract_z
Ca1 0.842 0.755 0.679
Ca2 0.842 0.245 0.680
Ca3 0.500 0.239 0.000
Ca4 0.500 0.761 0.000
Ca5 0.158 0.755 0.320
Ca6 0.158 0.245 0.321
Mg1 0.666 0.500 0.337
Mg2 0.328 0.000 0.649
Mg3 0.000 0.500 0.000
Mg4 0.672 0.000 0.351
Mg5 0.334 0.500 0.663
Ag1 0.000 0.000 0.000


# CuAgAs2 (PBE, relaxed)
# Space group ... No. 12
# E above lowest polymorph ... 29.0 meV/atom
data_CuAgAs2
_cell_length_a 4.243
_cell_length_b 4.243
_cell_length_c 5.507
_cell_angle_alpha 76.79
_cell_angle_beta 76.79
_cell_angle_gamma 48.63
_symmetry_space_group_name_H-M 'P 1'
_symmetry_Int_Tables_number 1
loop_
_symmetry_equiv_pos_as_xyz
'x,y,z'
loop_
_atom_site_label
_atom_site_fract_x
_atom_site_fract_y
_atom_site_fract_z
Ag1 0.250 0.250 0.250
As1 0.001 0.001 0.955
As2 0.499 0.499 0.545
Cu1 0.750 0.750 0.750


We obtain magnetization values of 0.0, 0.0 μB/f.u. for the records listed above, in that order.
We obtain energy relative to the elements values of -0.113, 0.188 eV per atom for the records listed above, in that order.